No. 1
Compound: Tc2AsRh
Source: the Alexandria database
Functional: GGA-PBEsol
Structure: relaxed

a = 2.821 Å, b = 3.787 Å, c = 5.298 Å
α = 90.00°, β = 90.00°, γ = 90.00°
Sites, in units of the cell vectors:
Tc (0.000, 0.000, 0.000)
Tc (0.500, 0.500, 0.203)
As (0.000, 0.000, 0.489)
Rh (0.500, 0.500, 0.707)


No. 2
Compound: Tc2AsRh
Source: the Alexandria database
Functional: GGA-PBEsol
Structure: relaxed

a = 2.769 Å, b = 3.984 Å, c = 5.249 Å
α = 90.00°, β = 103.52°, γ = 90.00°
Sites, in units of the cell vectors:
Tc (0.121, 0.000, 0.254)
Tc (0.879, 0.000, 0.746)
As (0.500, 0.500, 0.500)
Rh (0.500, 0.500, 0.000)


No. 3
Compound: TcAs2Rh
Source: the Alexandria database
Functional: GGA-PBEsol
Structure: relaxed

a = 3.328 Å, b = 3.328 Å, c = 5.369 Å
α = 90.00°, β = 90.00°, γ = 90.00°
Sites, in units of the cell vectors:
Tc (0.000, 0.000, 0.000)
As (0.000, 0.000, 0.513)
As (0.500, 0.500, 0.170)
Rh (0.500, 0.500, 0.648)


So what do the calculations give for formation energy from the elements? Going down the list: 27.2 11.9 -176.0 meV/atom.
So what do the calculations give for total moment? Going down the list: 0.000 0.000 0.000 μB/f.u..